Pu2InGa3Au4 | PBE-GGA | relaxed

a b c (Å): 4.347 4.347 11.350
angles (deg): 90.00 90.00 90.00
Atoms (fractional coordinates):
In (0.500, 0.500, 0.500)
Pu (0.500, 0.000, 0.237)
Pu (0.000, 0.500, 0.763)
Au (0.000, 0.000, 0.000)
Au (0.500, 0.000, 0.650)
Au (0.500, 0.500, 0.000)
Au (0.000, 0.500, 0.350)
Ga (0.000, 0.000, 0.500)
Ga (0.500, 0.000, 0.870)
Ga (0.000, 0.500, 0.130)

- DFT formation energy: -0.378 eV per atom
- Magnetic moment: 11.178 μB/f.u.

=====

PuInGa2Au5 | PBE-GGA | relaxed

a b c (Å): 4.969 4.969 7.733
angles (deg): 90.00 90.00 90.00
Atoms (fractional coordinates):
In (0.000, 0.000, 0.000)
Au (0.500, 0.000, 0.739)
Au (0.500, 0.500, 0.500)
Au (0.000, 0.500, 0.261)
Au (0.500, 0.000, 0.261)
Au (0.000, 0.500, 0.739)
Ga (0.500, 0.500, 0.842)
Ga (0.500, 0.500, 0.158)
Pu (0.000, 0.000, 0.500)

- DFT formation energy: -0.206 eV per atom
- Magnetic moment: 5.691 μB/f.u.

=====

Rb2InGaAu2 | PBE-GGA | relaxed

a b c (Å): 6.932 7.049 9.261
angles (deg): 112.37 111.98 90.00
Atoms (fractional coordinates):
In (0.750, 0.000, 0.000)
In (0.250, 0.000, 0.000)
Au (0.921, 0.192, 0.842)
Au (0.421, 0.650, 0.842)
Au (0.579, 0.350, 0.158)
Au (0.079, 0.808, 0.158)
Rb (0.322, 0.080, 0.643)
Rb (0.178, 0.437, 0.357)
Rb (0.678, 0.920, 0.357)
Rb (0.822, 0.563, 0.643)
Ga (0.250, 0.500, 0.000)
Ga (0.750, 0.500, 0.000)

- DFT formation energy: -0.272 eV per atom
- Magnetic moment: 0.000 μB/f.u.